(1)
DFT (PBE-GGA) results for a relaxed structure of Te2AsSe.

a b c (Å): 6.9787 6.9787 6.1690
angles (deg): 92.58 92.58 28.62
Sites, in units of the cell vectors:
1 Te 0.0000 0.0000 0.0000
2 Te 0.0721 0.0721 0.5964
3 As 0.2738 0.2738 0.6741
4 Se 0.8072 0.8072 0.4085

Values from the calculation:
uncorrected formation energy: 0.2 eV per formula unit
DOS(E_F): 0.09 states/eV per atom
ΔE to the lowest computed polymorph: 0.00 eV per formula unit

***

(2)
DFT (PBE-GGA) results for a relaxed structure of TeAsSe2.

a b c (Å): 3.4420 3.4420 7.5969
angles (deg): 90.00 90.00 90.00
Sites, in units of the cell vectors:
1 Te 0.0000 0.0000 0.0000
2 As 0.0000 0.0000 0.5000
3 Se 0.5000 0.5000 0.2964
4 Se 0.5000 0.5000 0.7036

Values from the calculation:
uncorrected formation energy: 1.5 eV per formula unit
DOS(E_F): 0.54 states/eV per atom
ΔE to the lowest computed polymorph: 1.74 eV per formula unit

***

(3)
DFT (PBE-GGA) results for a relaxed structure of TeAs2Se.

a b c (Å): 5.0000 4.0695 5.1257
angles (deg): 90.00 107.90 90.00
Sites, in units of the cell vectors:
1 Te 0.0000 0.0000 0.0000
2 As 0.2199 0.5000 0.7049
3 As 0.7801 0.5000 0.2951
4 Se 0.5000 0.0000 0.5000

Values from the calculation:
uncorrected formation energy: 0.4 eV per formula unit
DOS(E_F): 0.59 states/eV per atom
ΔE to the lowest computed polymorph: 0.08 eV per formula unit

***

(4)
DFT (PBE-GGA) results for a relaxed structure of TeAs2Se.

a b c (Å): 4.9650 4.9650 4.9650
angles (deg): 60.00 60.00 60.00
Sites, in units of the cell vectors:
1 Te 0.0000 0.0000 0.0000
2 As 0.2500 0.2500 0.2500
3 As 0.7500 0.7500 0.7500
4 Se 0.5000 0.5000 0.5000

Values from the calculation:
uncorrected formation energy: 1.7 eV per formula unit
DOS(E_F): 0.59 states/eV per atom
ΔE to the lowest computed polymorph: 1.40 eV per formula unit

***

- Which value of uncorrected formation energy does entry 4 give?
  1.7 eV per formula unit

***

- The lowest DOS(E_F) belongs to which entry?
  Te2AsSe

***

- Which value of ΔE to the lowest computed polymorph does entry 2 give?
  1.74 eV per formula unit

***

- Look up the DOS(E_F) of the second one.
  0.54 states/eV per atom